No. 1
This record from the Alexandria database describes an optimized crystal structure of U2Ti3Ge4. The functional is PBE.

Output
formation energy from the elements = -513 meV/atom

Geometry as CIF:
```
data_U2Ti3Ge4
_space_group_name_H-M_alt 'P 1 21/c 1'
_space_group_IT_number 14
_space_group_name_Hall '-P 2ybc'
_cell_length_a 7.009
_cell_length_b 7.014
_cell_length_c 7.136
_cell_angle_alpha 90.00
_cell_angle_beta 110.70
_cell_angle_gamma 90.00
loop_
_atom_site_label
_atom_site_type_symbol
_atom_site_fract_x
_atom_site_fract_y
_atom_site_fract_z
U1 U 0.154 0.132 0.050
Ti1 Ti 0.257 0.677 0.254
Ti2 Ti 0.500 0.000 0.500
Ge1 Ge 0.093 0.540 0.880
Ge2 Ge 0.476 0.141 0.854
```



No. 2
This record from the Alexandria database describes an optimized crystal structure of MgRh2Pb. The functional is PBE.

Output
formation energy from the elements = -320 meV/atom

Geometry as CIF:
```
data_MgRh2Pb
_space_group_name_H-M_alt 'P 4/m m m'
_space_group_IT_number 123
_space_group_name_Hall '-P 4 2'
_cell_length_a 4.397
_cell_length_b 4.397
_cell_length_c 3.493
_cell_angle_alpha 90.00
_cell_angle_beta 90.00
_cell_angle_gamma 90.00
loop_
_atom_site_label
_atom_site_type_symbol
_atom_site_fract_x
_atom_site_fract_y
_atom_site_fract_z
Mg1 Mg 0.000 0.000 0.000
Rh1 Rh 0.000 0.500 0.500
Pb1 Pb 0.500 0.500 0.000
```



No. 3
This record from the Alexandria database describes an optimized crystal structure of CrSbAs2. The functional is PBE.

Output
E_form (uncorrected) = 116 meV/atom

Geometry as CIF:
```
data_CrSbAs2
_space_group_name_H-M_alt 'P 4/m m m'
_space_group_IT_number 123
_space_group_name_Hall '-P 4 2'
_cell_length_a 3.103
_cell_length_b 3.103
_cell_length_c 7.678
_cell_angle_alpha 90.00
_cell_angle_beta 90.00
_cell_angle_gamma 90.00
loop_
_atom_site_label
_atom_site_type_symbol
_atom_site_fract_x
_atom_site_fract_y
_atom_site_fract_z
Cr1 Cr 0.000 0.000 0.000
Sb1 Sb 0.000 0.000 0.500
As1 As 0.500 0.500 0.178
```



No. 4
This record from the Alexandria database describes an optimized crystal structure of BeAlH. The functional is PBE.

Output
E_tot = -3.43 eV/atom

Geometry as CIF:
```
data_BeAlH
_space_group_name_H-M_alt 'A m a 2'
_space_group_IT_number 40
_space_group_name_Hall 'A 2 -2a'
_cell_length_a 4.166
_cell_length_b 4.497
_cell_length_c 7.379
_cell_angle_alpha 90.00
_cell_angle_beta 90.00
_cell_angle_gamma 90.00
loop_
_atom_site_label
_atom_site_type_symbol
_atom_site_fract_x
_atom_site_fract_y
_atom_site_fract_z
Be1 Be 0.250 0.144 0.000
Al1 Al 0.250 0.172 0.361
H1 H 0.250 0.340 0.153
```



No. 5
This record from the Alexandria database describes an optimized crystal structure of K3InCl4. The functional is PBE.

Output
E_form (uncorrected) = -1668 meV/atom

Geometry as CIF:
```
data_K3InCl4
_space_group_name_H-M_alt 'C m m m'
_space_group_IT_number 65
_space_group_name_Hall '-C 2 2'
_cell_length_a 9.057
_cell_length_b 12.798
_cell_length_c 4.524
_cell_angle_alpha 90.00
_cell_angle_beta 90.00
_cell_angle_gamma 90.00
loop_
_atom_site_label
_atom_site_type_symbol
_atom_site_fract_x
_atom_site_fract_y
_atom_site_fract_z
K1 K 0.000 0.000 0.000
K2 K 0.250 0.250 0.500
In1 In 0.000 0.500 0.000
Cl1 Cl 0.000 0.248 0.000
Cl2 Cl 0.246 0.000 0.500
```



No. 6
This record from the Alexandria database describes an optimized crystal structure of RbTl7Sn5. The functional is PBE.

Output
formation energy from the elements = -9 meV/atom

Geometry as CIF:
```
data_RbTl7Sn5
_space_group_name_H-M_alt 'I m m 2'
_space_group_IT_number 44
_space_group_name_Hall 'I 2 -2'
_cell_length_a 6.525
_cell_length_b 11.242
_cell_length_c 11.327
_cell_angle_alpha 90.00
_cell_angle_beta 90.00
_cell_angle_gamma 90.00
loop_
_atom_site_label
_atom_site_type_symbol
_atom_site_fract_x
_atom_site_fract_y
_atom_site_fract_z
Rb1 Rb 0.000 0.000 0.000
Tl1 Tl 0.000 0.000 0.347
Tl2 Tl 0.000 0.000 0.640
Tl3 Tl 0.000 0.294 0.501
Tl4 Tl 0.000 0.352 0.007
Tl5 Tl 0.000 0.500 0.725
Sn1 Sn 0.000 0.500 0.285
Sn2 Sn 0.248 0.242 0.753
```



No. 7
This record from the Alexandria database describes an optimized crystal structure of SbPb3C. The functional is PBE.

Output
E_form (uncorrected) = 802 meV/atom

Geometry as CIF:
```
data_SbPb3C
_space_group_name_H-M_alt 'P m -3 m'
_space_group_IT_number 221
_space_group_name_Hall '-P 4 2 3'
_cell_length_a 5.118
_cell_length_b 5.118
_cell_length_c 5.118
_cell_angle_alpha 90.00
_cell_angle_beta 90.00
_cell_angle_gamma 90.00
loop_
_atom_site_label
_atom_site_type_symbol
_atom_site_fract_x
_atom_site_fract_y
_atom_site_fract_z
Sb1 Sb 0.000 0.000 0.000
Pb1 Pb 0.000 0.500 0.500
C1 C 0.500 0.500 0.500
```



No. 8
This record from the Alexandria database describes an optimized crystal structure of Na2TiTe. The functional is PBE.

Output
E_form (uncorrected) = 153 meV/atom

Geometry as CIF:
```
data_Na2TiTe
_space_group_name_H-M_alt 'I -4 2 d'
_space_group_IT_number 122
_space_group_name_Hall 'I -4 2bw'
_cell_length_a 9.351
_cell_length_b 9.351
_cell_length_c 5.511
_cell_angle_alpha 90.00
_cell_angle_beta 90.00
_cell_angle_gamma 90.00
loop_
_atom_site_label
_atom_site_type_symbol
_atom_site_fract_x
_atom_site_fract_y
_atom_site_fract_z
Na1 Na 0.197 0.750 0.125
Ti1 Ti 0.000 0.000 0.500
Te1 Te 0.000 0.000 0.000
```



No. 9
This record from the Alexandria database describes an optimized crystal structure of Tb2FeAgC. The functional is PBE.

Output
formation energy from the elements = -304 meV/atom

Geometry as CIF:
```
data_Tb2FeAgC
_space_group_name_H-M_alt 'P 4/m m m'
_space_group_IT_number 123
_space_group_name_Hall '-P 4 2'
_cell_length_a 5.043
_cell_length_b 5.043
_cell_length_c 3.674
_cell_angle_alpha 90.00
_cell_angle_beta 90.00
_cell_angle_gamma 90.00
loop_
_atom_site_label
_atom_site_type_symbol
_atom_site_fract_x
_atom_site_fract_y
_atom_site_fract_z
Tb1 Tb 0.000 0.500 0.000
Fe1 Fe 0.000 0.000 0.500
Ag1 Ag 0.500 0.500 0.500
C1 C 0.000 0.000 0.000
```



No. 10
This record from the Alexandria database describes an optimized crystal structure of TePSe2Br. The functional is PBE.

Output
E_form (uncorrected) = 879 meV/atom

Geometry as CIF:
```
data_TePSe2Br
_space_group_name_H-M_alt 'P 4/m m m'
_space_group_IT_number 123
_space_group_name_Hall '-P 4 2'
_cell_length_a 5.440
_cell_length_b 5.440
_cell_length_c 5.484
_cell_angle_alpha 90.00
_cell_angle_beta 90.00
_cell_angle_gamma 90.00
loop_
_atom_site_label
_atom_site_type_symbol
_atom_site_fract_x
_atom_site_fract_y
_atom_site_fract_z
Te1 Te 0.000 0.000 0.000
P1 P 0.500 0.500 0.500
Se1 Se 0.000 0.500 0.000
Br1 Br 0.000 0.000 0.500
```



No. 11
This record from the Alexandria database describes an optimized crystal structure of BeCr2Cu. The functional is PBE.

Output
formation energy from the elements = 227 meV/atom

Geometry as CIF:
```
data_BeCr2Cu
_space_group_name_H-M_alt 'P m m 2'
_space_group_IT_number 25
_space_group_name_Hall 'P 2 -2'
_cell_length_a 2.378
_cell_length_b 3.677
_cell_length_c 5.067
_cell_angle_alpha 90.00
_cell_angle_beta 90.00
_cell_angle_gamma 90.00
loop_
_atom_site_label
_atom_site_type_symbol
_atom_site_fract_x
_atom_site_fract_y
_atom_site_fract_z
Be1 Be 0.000 0.000 0.000
Cr1 Cr 0.000 0.000 0.492
Cr2 Cr 0.500 0.500 0.254
Cu1 Cu 0.500 0.500 0.776
```



No. 12
This record from the Alexandria database describes an optimized crystal structure of NbTcW. The functional is PBE.

Output
formation energy from the elements = 291 meV/atom

Geometry as CIF:
```
data_NbTcW
_space_group_name_H-M_alt 'P n m a'
_space_group_IT_number 62
_space_group_name_Hall '-P 2ac 2n'
_cell_length_a 11.635
_cell_length_b 3.049
_cell_length_c 5.793
_cell_angle_alpha 90.00
_cell_angle_beta 90.00
_cell_angle_gamma 90.00
loop_
_atom_site_label
_atom_site_type_symbol
_atom_site_fract_x
_atom_site_fract_y
_atom_site_fract_z
Nb1 Nb 0.231 0.250 0.121
Tc1 Tc 0.070 0.750 0.871
W1 W 0.071 0.750 0.374
```



No. 13
This record from the Alexandria database describes an optimized crystal structure of PmVSi2. The functional is PBE.

Output
E_form (uncorrected) = -391 meV/atom

Geometry as CIF:
```
data_PmVSi2
_space_group_name_H-M_alt 'R -3 m'
_space_group_IT_number 166
_space_group_name_Hall '-R 3 2"'
_cell_length_a 4.1527
_cell_length_b 4.1527
_cell_length_c 15.3818
_cell_angle_alpha 90.00
_cell_angle_beta 90.00
_cell_angle_gamma 120.00
loop_
_atom_site_label
_atom_site_type_symbol
_atom_site_fract_x
_atom_site_fract_y
_atom_site_fract_z
Pm1 Pm 0.0000 0.0000 0.0000
V1 V 0.0000 0.0000 0.5000
Si1 Si 0.0000 0.0000 0.2152
```



Number 1: theoretical density 9.21 g/cm³. Number 2: theoretical density 10.75 g/cm³. Number 3: theoretical density 7.27 g/cm³. Number 4: theoretical density 1.78 g/cm³. Number 5: theoretical density 2.37 g/cm³. Number 6: theoretical density 8.43 g/cm³. Number 7: theoretical density 9.36 g/cm³. Number 8: theoretical density 3.05 g/cm³. Number 9: theoretical density 8.77 g/cm³. Number 10: theoretical density 4.06 g/cm³. Number 11: theoretical density 6.62 g/cm³. Number 12: theoretical density 12.11 g/cm³. Number 13: theoretical density 5.47 g/cm³.